(1)
Density functional theory data (PBE-GGA) for an optimized crystal structure of PmHg6Pd12.

Energy relative to the elements in meV per atom: -114

Unit cell a=7.245 b=7.245 c=7.245 alpha=101.42 beta=101.42 gamma=101.42
Atoms (fractional coordinates):
Pm 0.000 0.000 0.000
Hg 0.816 0.824 0.554
Hg 0.446 0.184 0.176
Hg 0.176 0.446 0.184
Hg 0.184 0.176 0.446
Hg 0.554 0.816 0.824
Hg 0.824 0.554 0.816
Pd 0.820 0.408 0.403
Pd 0.403 0.820 0.408
Pd 0.408 0.403 0.820
Pd 0.180 0.592 0.597
Pd 0.597 0.180 0.592
Pd 0.592 0.597 0.180
Pd 0.999 0.745 0.261
Pd 0.255 0.739 0.001
Pd 0.739 0.001 0.255
Pd 0.001 0.255 0.739
Pd 0.745 0.261 0.999
Pd 0.261 0.999 0.745

(2)
Density functional theory data (PBE-GGA) for an optimized crystal structure of Pm4HgPd.

Energy relative to the elements in meV per atom: -453

Unit cell a=9.911 b=9.911 c=9.911 alpha=60.00 beta=60.00 gamma=60.00
Atoms (fractional coordinates):
Pm 0.396 0.396 0.396
Pm 0.813 0.396 0.396
Pm 0.396 0.813 0.396
Pm 0.396 0.396 0.813
Pm 0.558 0.558 0.942
Pm 0.942 0.942 0.558
Pm 0.558 0.942 0.558
Pm 0.942 0.558 0.942
Pm 0.942 0.558 0.558
Pm 0.558 0.942 0.942
Pm 0.186 0.186 0.814
Pm 0.814 0.814 0.186
Pm 0.186 0.814 0.186
Pm 0.814 0.186 0.814
Pm 0.814 0.186 0.186
Pm 0.186 0.814 0.814
Hg 0.165 0.165 0.165
Hg 0.506 0.165 0.165
Hg 0.165 0.506 0.165
Hg 0.165 0.165 0.506
Pd 0.605 0.605 0.605
Pd 0.184 0.605 0.605
Pd 0.605 0.184 0.605
Pd 0.605 0.605 0.184

(3)
Density functional theory data (PBE-GGA) for an optimized crystal structure of Pm2HgPd6.

Energy relative to the elements in meV per atom: -416

Unit cell a=4.528 b=8.455 c=6.838 alpha=128.19 beta=109.47 gamma=90.00
Atoms (fractional coordinates):
Pm 0.682 0.680 0.360
Pm 0.318 0.320 0.640
Hg 0.000 0.000 0.000
Pd 0.156 0.440 0.311
Pd 0.844 0.129 0.689
Pd 0.844 0.560 0.689
Pd 0.500 0.213 0.000
Pd 0.156 0.871 0.311
Pd 0.500 0.787 0.000

(4)
Density functional theory data (PBE-GGA) for an optimized crystal structure of Pm4HgPd3.

Energy relative to the elements in meV per atom: -724

Unit cell a=3.858 b=4.720 c=11.083 alpha=90.00 beta=90.00 gamma=90.00
Atoms (fractional coordinates):
Pm 0.500 0.500 0.374
Pm 0.000 0.500 0.850
Pm 0.000 0.000 0.145
Pm 0.500 0.000 0.635
Hg 0.500 0.500 0.081
Pd 0.000 0.500 0.585
Pd 0.000 0.000 0.417
Pd 0.500 0.000 0.913